1.
VASP calculation (GGA-PBE) on a relaxed Pr2Sm3Tm2 crystal.

abc: 3.5391 8.6278 9.0519
angles: 118.57 101.27 90.00
With the nearest neighbours (Å) after each atom.
Element x y z (fractional)
Sm: 0.2122 0.7950 0.4243  5 Sm 3.36-3.58, 3 Pr 3.49-3.67, 3 Tm 3.56-3.62
Sm: 0.0000 0.5000 0.0000  4 Sm 3.36-3.54, 2 Tm 3.58, 4 Pr 3.62
Sm: 0.7878 0.2050 0.5757  5 Sm 3.36-3.58, 3 Pr 3.49-3.67, 3 Tm 3.56-3.62
Pr: 0.4342 0.0870 0.8683  3 Pr 3.34-3.54, 5 Sm 3.49-3.67, 2 Tm 3.65
Pr: 0.5658 0.9130 0.1317  3 Pr 3.34-3.54, 5 Sm 3.49-3.67, 2 Tm 3.65
Tm: 0.8501 0.6645 0.7002  4 Tm 3.54-3.74, 4 Sm 3.56-3.62, 4 Pr 3.65-3.79
Tm: 0.1499 0.3355 0.2998  4 Tm 3.54-3.74, 4 Sm 3.56-3.62, 4 Pr 3.65-3.79

Results
E above lowest polymorph (meV per atom): 34
Calculated formation energy (meV/atom): 122

=====

2.
VASP calculation (GGA-PBE) on a relaxed TcRuW4 crystal.

abc: 5.1782 5.1782 5.1782
angles: 60.00 60.00 60.00
With the nearest neighbours (Å) after each atom.
Element x y z (fractional)
W: 0.6254 0.1239 0.6254  6 W 2.58-2.60
W: 0.6254 0.6254 0.1239  6 W 2.58-2.60
W: 0.1239 0.6254 0.6254  6 W 2.58-2.60
W: 0.6254 0.6254 0.6254  6 W 2.58-2.60
Tc: 0.0000 0.0000 0.0000  12 W 3.04, 4 Ru 3.17
Ru: 0.2500 0.2500 0.2500  12 W 3.04, 4 Tc 3.17

Results
Calculated formation energy (meV/atom): 431

=====

3.
VASP calculation (GGA-PBE) on a relaxed Hf3FeAs crystal.

abc: 4.7412 4.7412 4.7412
angles: 90.00 90.00 90.00
With the nearest neighbours (Å) after each atom.
Element x y z (fractional)
Fe: 0.0000 0.0000 0.0000  6 Hf 2.37
As: 0.5000 0.5000 0.5000  12 Hf 3.35
Hf: 0.0000 0.5000 0.0000  2 Fe 2.37
Hf: 0.0000 0.0000 0.5000  2 Fe 2.37
Hf: 0.5000 0.0000 0.0000  2 Fe 2.37

Results
E above lowest polymorph (meV per atom): 0
Calculated formation energy (meV/atom): 85

=====

4.
VASP calculation (GGA-PBE) on a relaxed Dy2TeH crystal.

abc: 7.2902 6.3107 8.0226
angles: 90.00 78.37 90.00
With the nearest neighbours (Å) after each atom.
Element x y z (fractional)
Dy: 0.9701 0.1614 0.8114  1 H 2.22
Dy: 0.3127 0.1433 0.4437  3 H 2.20-2.22
Dy: 0.5299 0.6614 0.1886  1 H 2.22
Dy: 0.6873 0.8567 0.5563  3 H 2.20-2.22
Dy: 0.8127 0.3567 0.4437  3 H 2.20-2.22
Dy: 0.0299 0.8386 0.1886  1 H 2.22
Dy: 0.1873 0.6433 0.5563  3 H 2.20-2.22
Dy: 0.4701 0.3386 0.8114  1 H 2.22
Te: 0.1744 0.3713 0.1529  5 Dy 3.08-3.23, 2 H 3.19-3.24
Te: 0.6744 0.1287 0.1529  5 Dy 3.08-3.23, 2 H 3.19-3.24
Te: 0.8256 0.6287 0.8471  5 Dy 3.08-3.23, 2 H 3.19-3.24
Te: 0.3256 0.8713 0.8471  5 Dy 3.08-3.23, 2 H 3.19-3.24
H: 0.9399 0.6739 0.4368  4 Dy 2.20-2.22
H: 0.0601 0.3261 0.5632  4 Dy 2.20-2.22
H: 0.5601 0.1739 0.5632  4 Dy 2.20-2.22
H: 0.4399 0.8261 0.4368  4 Dy 2.20-2.22

Results
E above lowest polymorph (meV per atom): 0

=====

5.
VASP calculation (GGA-PBE) on a relaxed BaNaO2 crystal.

abc: 7.2464 7.2464 7.2464
angles: 31.95 31.95 31.95
With the nearest neighbours (Å) after each atom.
Element x y z (fractional)
Ba: 0.5000 0.5000 0.5000  6 O 2.64
Na: 0.0000 0.0000 0.0000  2 O 2.14
O: 0.1036 0.1036 0.1036  1 Na 2.14
O: 0.8964 0.8964 0.8964  1 Na 2.14

Results
Formation energy without anion corrections (kJ per mole of atoms): -141.1

=====

6.
VASP calculation (GGA-PBE) on a relaxed SrPtW crystal.

abc: 6.2964 6.2964 6.2964
angles: 153.33 142.56 46.56
With the nearest neighbours (Å) after each atom.
Element x y z (fractional)
W: 0.6195 0.6195 0.0000  4 Pt 2.64, 2 W 2.90
Sr: 0.3383 0.3383 0.0000  2 Sr 2.90
Pt: 0.0423 0.0423 0.0000  4 W 2.64, 2 Pt 2.90

Results
E above lowest polymorph (meV per atom): 305
Calculated formation energy (meV/atom): 278

=====

Number 1: V 33.808 Å³/atom. Number 2: V 16.364 Å³/atom. Number 3: V 21.315 Å³/atom. Number 4: V 22.595 Å³/atom. Number 5: V 23.659 Å³/atom. Number 6: V 22.628 Å³/atom.